No. 1
Here is a geometry-optimized Ca2AcCd2In2 structure from the Alexandria database. Energies are from GGA-PBE.

Structure (extended XYZ):
```
7
Lattice="5.0404 0.0000 0.0000 2.5202 4.3652 0.0000 2.5202 1.4551 9.7588" Properties=species:S:1:pos:R:3 pbc="T T T"
Ca 2.5202 1.4551 5.9389
Ac 0.0000 0.0000 0.0000
In 7.5607 4.3652 7.4692
Cd 5.0404 2.9101 2.1246
Cd 5.0404 2.9101 7.6341
Ca 7.5607 4.3652 3.8199
In 2.5202 1.4551 2.2896
```

Output
Fermi-level density of states = 2.69 states/eV/cell
density = 5.89 Mg/m³
total moment = 0.000 μB/f.u.
formation energy = -2.5 eV/f.u.

---

No. 2
Here is a geometry-optimized CaAc2Cd4In3 structure from the Alexandria database. Energies are from GGA-PBE.

Structure (extended XYZ):
```
10
Lattice="4.7561 0.0000 0.0000 0.0000 4.7561 0.0000 0.0000 0.0000 12.9414" Properties=species:S:1:pos:R:3 pbc="T T T"
Ac 0.0000 2.3780 9.9968
Ac 2.3780 0.0000 2.9447
Cd 2.3780 2.3780 0.0000
In 0.0000 2.3780 1.7211
Cd 0.0000 0.0000 0.0000
Ca 2.3780 2.3780 6.4707
In 0.0000 0.0000 6.4707
Cd 0.0000 2.3780 4.5147
Cd 2.3780 0.0000 8.4267
In 2.3780 0.0000 11.2203
```

Output
Fermi-level density of states = 5.11 states/eV/cell
density = 7.31 Mg/m³
total moment = 0.000 μB/f.u.
formation energy = -3.2 eV/f.u.

---

No. 3
Here is a geometry-optimized CaAc2Cd3In4 structure from the Alexandria database. Energies are from GGA-PBE.

Structure (extended XYZ):
```
10
Lattice="4.7600 0.0000 0.0000 0.0000 4.7600 0.0000 0.0000 0.0000 12.9987" Properties=species:S:1:pos:R:3 pbc="T T T"
In 2.3800 0.0000 8.4838
Cd 2.3800 0.0000 11.2623
Ac 2.3800 0.0000 3.0140
Cd 0.0000 2.3800 1.7364
Ac 0.0000 2.3800 9.9847
Cd 0.0000 0.0000 6.4994
In 2.3800 2.3800 0.0000
In 0.0000 2.3800 4.5149
In 0.0000 0.0000 0.0000
Ca 2.3800 2.3800 6.4994
```

Output
Fermi-level density of states = 5.18 states/eV/cell
density = 7.28 Mg/m³
total moment = 0.000 μB/f.u.
formation energy = -3.3 eV/f.u.

---

No. 4
Here is a geometry-optimized CaAcLaCd structure from the Alexandria database. Energies are from GGA-PBE.

Structure (extended XYZ):
```
4
Lattice="-2.7216 2.5823 -0.9394 -1.9006 -0.8141 3.2685 4.9267 6.8557 4.5723" Properties=species:S:1:pos:R:3 pbc="T T T"
Ac 0.3956 0.5504 0.3671
Cd 2.8243 3.9301 2.6211
La -0.5360 3.3542 2.8119
Ca 1.4866 6.1688 4.6891
```

Output
Fermi-level density of states = 6.28 states/eV/cell
ΔE to the lowest computed polymorph = 0 meV/atom
density = 5.99 Mg/m³
total moment = 0.000 μB/f.u.
formation energy = -0.6 eV/f.u.

---

No. 5
Here is a geometry-optimized CaAcLaCd structure from the Alexandria database. Energies are from GGA-PBE.

Structure (extended XYZ):
```
4
Lattice="5.8569 0.0000 0.0000 2.9284 5.0722 0.0000 2.9284 1.6907 4.7821" Properties=species:S:1:pos:R:3 pbc="T T T"
Ac 2.9284 1.6907 1.1955
Ca 5.8569 3.3815 2.3911
Cd 8.7853 5.0722 3.5866
La 0.0000 0.0000 0.0000
```

Output
Fermi-level density of states = 6.73 states/eV/cell
ΔE to the lowest computed polymorph = 200 meV/atom
density = 6.06 Mg/m³
total moment = 0.005 μB/f.u.
formation energy = 0.2 eV/f.u.

---

No. 6
Here is a geometry-optimized Ca2AcLaCd4 structure from the Alexandria database. Energies are from GGA-PBE.

Structure (extended XYZ):
```
8
Lattice="5.5582 0.0000 0.0000 2.7791 4.8135 0.0000 2.7791 1.6045 9.0904" Properties=species:S:1:pos:R:3 pbc="T T T"
Ac 0.0000 0.0000 0.0000
Cd 5.5582 3.2090 7.8841
Cd 2.7791 1.6045 5.6401
Ca 8.3373 4.8135 6.7962
Ca 2.7791 1.6045 2.2942
Cd 8.3373 4.8135 3.4503
La 5.5582 3.2090 4.5452
Cd 5.5582 3.2090 1.2062
```

Output
Fermi-level density of states = 6.61 states/eV/cell
density = 6.12 Mg/m³
total moment = 0.000 μB/f.u.
formation energy = -2.9 eV/f.u.

---

No. 7
Here is a geometry-optimized Li2Ca2AcCd2 structure from the Alexandria database. Energies are from GGA-PBE.

Structure (extended XYZ):
```
7
Lattice="-4.7309 -1.2029 -1.3193 -2.3449 -3.8739 2.2502 -5.7281 4.2296 6.9940" Properties=species:S:1:pos:R:3 pbc="T T T"
Ac 0.0000 0.0000 0.0000
Li -5.4735 -2.0554 2.1207
Cd -9.7019 -0.4616 6.1398
Li -7.3304 1.2082 5.8041
Cd -3.1020 -0.3857 1.7850
Ca -8.3830 -2.7794 3.5238
Ca -4.4209 1.9322 4.4010
```

Output
Fermi-level density of states = 7.29 states/eV/cell
density = 4.29 Mg/m³
total moment = 0.000 μB/f.u.
formation energy = -0.9 eV/f.u.

---

No. 8
Here is a geometry-optimized LiCa2AcCd4 structure from the Alexandria database. Energies are from GGA-PBE.

Structure (extended XYZ):
```
8
Lattice="5.3731 0.0000 0.0000 2.6866 4.6533 0.0000 2.6866 1.5511 9.0968" Properties=species:S:1:pos:R:3 pbc="T T T"
Cd 2.6866 1.5511 5.6250
Ac 0.0000 0.0000 0.0000
Cd 5.3731 3.1022 1.4860
Ca 8.0597 4.6533 6.6797
Ca 2.6866 1.5511 2.4171
Cd 8.0597 4.6533 3.4717
Li 5.3731 3.1022 4.5484
Cd 5.3731 3.1022 7.6108
```

Output
Fermi-level density of states = 5.03 states/eV/cell
density = 5.58 Mg/m³
total moment = 0.000 μB/f.u.
formation energy = -2.1 eV/f.u.

---

No. 9
Here is a geometry-optimized Li2CaAcCd4 structure from the Alexandria database. Energies are from GGA-PBE.

Structure (extended XYZ):
```
8
Lattice="-0.2582 2.9873 -3.8550 -3.7069 -0.3990 -3.1546 -6.7903 7.5854 3.2392" Properties=species:S:1:pos:R:3 pbc="T T T"
Li -7.9326 7.4657 -2.9643
Cd -5.7879 4.8291 -5.1511
Cd -7.0594 7.1542 -0.1705
Ca -5.3777 5.0868 -1.8852
Cd -3.6960 3.0195 -3.5998
Cd -4.9675 5.3446 1.3807
Li -2.8227 2.7080 -0.8061
Ac 0.0000 0.0000 0.0000
```

Output
Fermi-level density of states = 6.98 states/eV/cell
density = 5.70 Mg/m³
total moment = 0.000 μB/f.u.
formation energy = -1.9 eV/f.u.

---

No. 10
Here is a geometry-optimized CaAcMg2Cd2 structure from the Alexandria database. Energies are from GGA-PBE.

Structure (extended XYZ):
```
6
Lattice="5.1583 0.0000 0.0000 -2.5791 4.4672 0.0000 0.0000 0.0000 7.5537" Properties=species:S:1:pos:R:3 pbc="T T T"
Mg 0.0000 2.9781 5.4895
Mg 2.5791 1.4891 2.0643
Cd 2.5791 1.4891 5.5900
Cd 0.0000 2.9781 1.9637
Ac 0.0000 0.0000 0.0000
Ca 0.0000 0.0000 3.7769
```

Output
Fermi-level density of states = 6.98 states/eV/cell
density = 5.16 Mg/m³
total moment = 0.000 μB/f.u.
formation energy = -1.3 eV/f.u.

---

No. 11
Here is a geometry-optimized CaAcMg2Cd4 structure from the Alexandria database. Energies are from GGA-PBE.

Structure (extended XYZ):
```
8
Lattice="5.2204 0.0000 0.0000 2.6102 4.5210 0.0000 2.6102 1.5070 8.9145" Properties=species:S:1:pos:R:3 pbc="T T T"
Cd 7.8305 4.5210 3.4047
Cd 5.2203 3.0140 1.3617
Ac 0.0000 0.0000 0.0000
Ca 5.2204 3.0140 4.4573
Mg 2.6102 1.5070 2.2964
Mg 7.8305 4.5210 6.6181
Cd 5.2204 3.0140 7.5528
Cd 2.6102 1.5070 5.5098
```

Output
Fermi-level density of states = 4.22 states/eV/cell
density = 6.04 Mg/m³
total moment = 0.000 μB/f.u.
formation energy = -2.1 eV/f.u.

---

No. 12
Here is a geometry-optimized Ca2AcCdN structure from the Alexandria database. Energies are from GGA-PBE.

Structure (extended XYZ):
```
10
Lattice="6.9182 0.0000 0.0000 0.0000 6.9182 0.0000 -3.4591 -3.4591 5.6664" Properties=species:S:1:pos:R:3 pbc="T T T"
N 3.4591 3.4591 0.2331
Cd 3.4591 0.0000 2.9056
Ca 1.8389 1.6202 5.6135
Ca -1.6202 1.8389 5.6135
Ca 1.6202 -1.8389 5.6135
Ac 3.4591 3.4591 2.6359
Cd 0.0000 3.4591 2.9056
Ca -1.8389 -1.6202 5.6135
Ac 0.0000 0.0000 2.6359
N 0.0000 0.0000 0.2331
```

Output
Fermi-level density of states = 6.06 states/eV/cell
energy relative to the elements, uncorrected = -0.582 eV/atom
density = 5.31 Mg/m³
total moment = 0.000 μB/f.u.

---

- Which formula does entry 9 have?
  Li2CaAcCd4